Entry 1
Computed, not measured: Ag2RhCl after structural relaxation at the PBE level of DFT.

Computed properties:
symmetry	No. 123
D(E_F)	4.82	states/eV/f.u.

Unit cell a=4.9446 b=4.9446 c=2.9212 alpha=90.00 beta=90.00 gamma=90.00
Fractional coordinates of all 4 atoms:
Cl 0.5000 0.0000 0.5000
Ag 0.5000 0.5000 0.0000
Rh 0.0000 0.5000 0.5000
Ag 0.0000 0.0000 0.0000



Entry 2
Computed, not measured: Ag2RhCl after structural relaxation at the PBE level of DFT.

Computed properties:
symmetry	No. 65
D(E_F)	3.75	states/eV/f.u.

Unit cell a=2.9702 b=2.9702 c=8.9319 alpha=90.00 beta=90.00 gamma=116.73
Each line ends with the local moment (μB).
Fractional coordinates of all 4 atoms:
Cl 0.5000 0.5000 0.2500  0.01
Ag 0.0000 0.0000 0.0033  0.01
Ag 0.0000 0.0000 0.4967  0.01
Rh 0.5000 0.5000 0.7500  0.74



So which one wins? Going from most stable to least: entry 2, entry 1.



Entry 1
Computed, not measured: Ag2RhCl after structural relaxation at the PBE level of DFT.

Computed properties:
symmetry	No. 44
D(E_F)	1.43	states/eV/f.u.

Unit cell a=6.5348 b=6.5348 c=6.5348 alpha=153.22 beta=139.21 gamma=49.47
Fractional coordinates of all 4 atoms:
Cl 0.4267 0.4267 0.0000
Rh 0.2795 0.7795 0.5000
Ag 0.0787 0.0787 0.0000
Ag 0.7152 0.2152 0.5000



Entry 2
Computed, not measured: Ag2RhCl after structural relaxation at the PBE level of DFT.

Computed properties:
symmetry	No. 35
D(E_F)	2.69	states/eV/f.u.

Unit cell a=2.9991 b=2.9991 c=9.1220 alpha=90.00 beta=90.00 gamma=119.94
Fractional coordinates of all 4 atoms:
Ag 0.5000 0.5000 0.2501
Cl 0.0000 0.0000 0.5305
Rh 0.5000 0.5000 0.7329
Ag 0.0000 0.0000 0.9865



Entry 3
Computed, not measured: Ag2RhCl after structural relaxation at the PBE level of DFT.

Computed properties:
symmetry	No. 139
D(E_F)	2.05	states/eV/f.u.

Unit cell a=5.3899 b=5.3899 c=5.3899 alpha=137.47 beta=137.47 gamma=61.71
Fractional coordinates of all 4 atoms:
Ag 0.0000 0.0000 0.0000
Rh 0.7500 0.2500 0.5000
Ag 0.5000 0.5000 0.0000
Cl 0.2500 0.7500 0.5000



Entry 4
Computed, not measured: Ag2RhCl after structural relaxation at the PBE level of DFT.

Computed properties:
symmetry	No. 71
D(E_F)	2.59	states/eV/f.u.

Unit cell a=6.8952 b=6.8952 c=6.8952 alpha=155.59 beta=145.91 gamma=42.38
Fractional coordinates of all 4 atoms:
Ag 0.0566 0.0566 0.0000
Rh 0.2500 0.7500 0.5000
Ag 0.4434 0.4434 0.0000
Cl 0.7500 0.2500 0.5000



So which one wins? Going from most stable to least: entry 1, entry 2, entry 4, entry 3.



Entry 1
Computed, not measured: AgRhCl after structural relaxation at the PBE level of DFT.

Computed properties:
symmetry	No. 216
D(E_F)	3.60	states/eV/f.u.

Unit cell a=4.3764 b=4.3764 c=4.3764 alpha=60.00 beta=60.00 gamma=60.00
Each line ends with the local moment (μB).
Fractional coordinates of all 3 atoms:
Cl 0.7500 0.7500 0.7500  0.13
Rh 0.0000 0.0000 0.0000  1.18
Ag 0.5000 0.5000 0.5000  0.02



Entry 2
Computed, not measured: AgRhCl after structural relaxation at the PBE level of DFT.

Computed properties:
symmetry	No. 187
D(E_F)	3.38	states/eV/f.u.

Unit cell a=4.2743 b=4.2743 c=3.2764 alpha=90.00 beta=90.00 gamma=120.00
Fractional coordinates of all 3 atoms:
Ag 0.0000 0.0000 0.9998
Rh 0.3333 0.6667 0.4996
Cl 0.6667 0.3333 0.5006



Entry 3
Computed, not measured: AgRhCl after structural relaxation at the PBE level of DFT.

Computed properties:
symmetry	No. 216
D(E_F)	4.29	states/eV/f.u.

Unit cell a=4.4184 b=4.4184 c=4.4184 alpha=60.00 beta=60.00 gamma=60.00
Each line ends with the local moment (μB).
Fractional coordinates of all 3 atoms:
Ag 0.0000 0.0000 0.0000  0.09
Cl 0.5000 0.5000 0.5000  0.11
Rh 0.7500 0.7500 0.7500  1.14



Entry 4
Computed, not measured: AgRhCl after structural relaxation at the PBE level of DFT.

Computed properties:
symmetry	No. 156
D(E_F)	2.71	states/eV/f.u.

Unit cell a=3.1800 b=3.1800 c=6.2042 alpha=90.00 beta=90.00 gamma=120.00
Each line ends with the local moment (μB).
Fractional coordinates of all 3 atoms:
Rh 0.6667 0.3333 0.6436  1.08
Cl 0.3333 0.6667 0.3747  0.16
Ag 0.0000 0.0000 0.9817  0.02



So which one wins? Going from most stable to least: entry 4, entry 2, entry 3, entry 1.



Entry 1
Computed, not measured: AgRhCl after structural relaxation at the PBE level of DFT.

Computed properties:
symmetry	No. 107
D(E_F)	1.80	states/eV/f.u.

Unit cell a=6.1655 b=6.1655 c=6.1655 alpha=151.39 beta=151.39 gamma=40.91
Each line ends with the local moment (μB).
Fractional coordinates of all 3 atoms:
Cl 0.3093 0.3093 0.0000  0.21
Rh 0.6770 0.6770 0.0000  1.24
Ag 0.0138 0.0138 0.0000  0.03



Entry 2
Computed, not measured: AgRhCl after structural relaxation at the PBE level of DFT.

Computed properties:
symmetry	No. 42
D(E_F)	1.83	states/eV/f.u.

Unit cell a=7.0867 b=6.7485 c=3.0679 alpha=83.44 beta=71.09 gamma=25.47
Fractional coordinates of all 3 atoms:
Cl 0.3141 0.3141 0.6859
Ag 0.0073 0.0073 0.9927
Rh 0.6785 0.6785 0.3215



So which one wins? Going from most stable to least: entry 2, entry 1.



Entry 1
Computed, not measured: AgRhCl2 after structural relaxation at the PBE level of DFT.

Computed properties:
symmetry	No. 225
D(E_F)	2.58	states/eV/f.u.

Unit cell a=4.6974 b=4.6974 c=4.6974 alpha=60.00 beta=60.00 gamma=60.00
Each line ends with the local moment (μB).
Fractional coordinates of all 4 atoms:
Rh 0.0000 0.0000 0.0000  1.58
Ag 0.5000 0.5000 0.5000  0.02
Cl 0.7500 0.7500 0.7500  0.15
Cl 0.2500 0.2500 0.2500  0.15



Entry 2
Computed, not measured: AgRhCl2 after structural relaxation at the PBE level of DFT.

Computed properties:
symmetry	No. 99
D(E_F)	3.08	states/eV/f.u.

Unit cell a=3.2826 b=3.2826 c=7.4271 alpha=90.00 beta=90.00 gamma=90.00
Fractional coordinates of all 4 atoms:
Cl 0.5000 0.5000 0.3548
Ag 0.5000 0.5000 0.7464
Rh 0.0000 0.0000 0.4610
Cl 0.0000 0.0000 0.9378



Entry 3
Computed, not measured: AgRhCl2 after structural relaxation at the PBE level of DFT.

Computed properties:
symmetry	No. 35
D(E_F)	1.87	states/eV/f.u.

Unit cell a=3.3949 b=3.3949 c=7.7581 alpha=90.00 beta=90.00 gamma=108.82
Each line ends with the local moment (μB).
Fractional coordinates of all 4 atoms:
Ag 0.5000 0.5000 0.7385  0.00
Rh 0.0000 0.0000 0.4942  0.99
Cl 0.5000 0.5000 0.3335  0.15
Cl 0.0000 0.0000 0.9338  -0.01



So which one wins? Going from most stable to least: entry 3, entry 2, entry 1.



Entry 1
Computed, not measured: AgRhCl2 after structural relaxation at the PBE level of DFT.

Computed properties:
symmetry	No. 38
D(E_F)	2.82	states/eV/f.u.

Unit cell a=7.1010 b=6.3270 c=7.1020 alpha=152.98 beta=148.13 gamma=43.80
Fractional coordinates of all 4 atoms:
Ag 0.2993 0.7231 0.4246
Cl 0.7016 0.0285 0.3267
Rh 0.4969 0.6189 0.1218
Cl 0.0022 0.1295 0.1268



Entry 2
Computed, not measured: AgRhCl2 after structural relaxation at the PBE level of DFT.

Computed properties:
symmetry	No. 65
D(E_F)	3.60	states/eV/f.u.

Unit cell a=4.7444 b=4.7446 c=3.2581 alpha=90.00 beta=90.00 gamma=90.10
Each line ends with the local moment (μB).
Fractional coordinates of all 4 atoms:
Ag 0.0000 0.5000 0.5000  0.01
Rh 0.5000 0.0000 0.5000  1.60
Cl 0.5000 0.5000 0.0000  0.13
Cl 0.0000 0.0000 0.0000  0.13



Entry 3
Computed, not measured: AgRhCl2 after structural relaxation at the PBE level of DFT.

Computed properties:
symmetry	No. 12
D(E_F)	3.89	states/eV/f.u.

Unit cell a=7.5704 b=6.0198 c=3.2149 alpha=57.96 beta=114.78 gamma=137.79
Each line ends with the local moment (μB).
Fractional coordinates of all 4 atoms:
Rh 0.0000 0.5000 0.5000  0.54
Cl 0.0000 0.0000 0.0000  0.03
Ag 0.5000 0.5000 0.0000  0.00
Cl 0.5000 0.0000 0.5000  0.03



Entry 4
Computed, not measured: AgRhCl2 after structural relaxation at the PBE level of DFT.

Computed properties:
symmetry	No. 65
D(E_F)	2.23	states/eV/f.u.

Unit cell a=3.4128 b=3.4128 c=8.1208 alpha=90.00 beta=90.00 gamma=122.37
Each line ends with the local moment (μB).
Fractional coordinates of all 4 atoms:
Rh 0.5000 0.5000 0.2500  0.32
Ag 0.5000 0.5000 0.7500  0.00
Cl 0.0000 0.0000 0.4616  0.00
Cl 0.0000 0.0000 0.0384  0.00



So which one wins? Going from most stable to least: entry 1, entry 4, entry 3, entry 2.



Entry 1
Computed, not measured: Ag3RhCl6 after structural relaxation at the PBE level of DFT.

Computed properties:
symmetry	No. 148

Unit cell a=7.8405 b=7.8405 c=7.8405 alpha=89.19 beta=89.19 gamma=89.19
Fractional coordinates of all 20 atoms:
Cl 0.2049 0.5387 0.4495
Ag 0.7598 0.4507 0.9167
Cl 0.9387 0.0572 0.2910
Cl 0.5505 0.7951 0.4613
Ag 0.0833 0.2402 0.5493
Cl 0.0613 0.9428 0.7090
Cl 0.2910 0.9387 0.0572
Ag 0.2402 0.5493 0.0833
Cl 0.7951 0.4613 0.5505
Cl 0.7090 0.0613 0.9428
Rh 0.5000 0.5000 0.5000
Cl 0.0572 0.2910 0.9387
Cl 0.9428 0.7090 0.0613
Rh 0.0000 0.0000 0.0000
Cl 0.5387 0.4495 0.2049
Ag 0.5493 0.0833 0.2402
Ag 0.4507 0.9167 0.7598
Cl 0.4613 0.5505 0.7951
Cl 0.4495 0.2049 0.5387
Ag 0.9167 0.7598 0.4507



Entry 2
Computed, not measured: Ag3RhCl6 after structural relaxation at the PBE level of DFT.

Computed properties:
symmetry	No. 14

Unit cell a=6.6615 b=6.6689 c=9.9759 alpha=90.00 beta=90.68 gamma=90.00
Fractional coordinates of all 20 atoms:
Ag 0.4911 0.0523 0.2378
Ag 0.9911 0.4477 0.7378
Cl 0.1986 0.3281 0.4449
Cl 0.6177 0.4241 0.2816
Ag 0.0000 0.0000 0.5000
Rh 0.5000 0.5000 0.5000
Ag 0.5000 0.5000 0.0000
Cl 0.3823 0.5759 0.7184
Ag 0.5089 0.9477 0.7622
Cl 0.6576 0.2017 0.5795
Cl 0.3424 0.7983 0.4205
Cl 0.1576 0.2983 0.0795
Cl 0.6986 0.1719 0.9449
Cl 0.8014 0.6719 0.5551
Cl 0.1177 0.0759 0.7816
Cl 0.8823 0.9241 0.2184
Rh 0.0000 0.0000 0.0000
Cl 0.8424 0.7017 0.9205
Cl 0.3014 0.8281 0.0551
Ag 0.0089 0.5523 0.2622



So which one wins? Going from most stable to least: entry 1, entry 2.



Entry 1
Computed, not measured: AgRhS2Cl after structural relaxation at the PBE level of DFT.

Computed properties:
symmetry	No. 123
D(E_F)	7.82	states/eV/f.u.

Unit cell a=4.8231 b=4.8231 c=4.8750 alpha=90.00 beta=90.00 gamma=90.00
Each line ends with the local moment (μB).
Fractional coordinates of all 5 atoms:
Rh 0.5000 0.5000 0.5000  1.86
S 0.5000 0.0000 0.0000  0.28
Ag 0.0000 0.0000 0.0000  0.02
S 0.0000 0.5000 0.0000  0.28
Cl 0.0000 0.0000 0.5000  0.10



Entry 2
Computed, not measured: AgRhS2Cl after structural relaxation at the PBE level of DFT.

Computed properties:
symmetry	No. 123
D(E_F)	5.93	states/eV/f.u.

Unit cell a=4.8526 b=4.6620 c=4.8526 alpha=90.00 beta=90.00 gamma=90.00
Each line ends with the local moment (μB).
Fractional coordinates of all 5 atoms:
Rh 0.5000 0.5000 0.5000  1.59
Ag 0.0000 0.5000 0.0000  0.00
Cl 0.0000 0.0000 0.0000  0.00
S 0.0000 0.0000 0.5000  0.14
S 0.5000 0.0000 0.0000  0.15



Entry 3
Computed, not measured: AgRhS2Cl after structural relaxation at the PBE level of DFT.

Computed properties:
symmetry	No. 123
D(E_F)	5.83	states/eV/f.u.

Unit cell a=4.5840 b=4.5840 c=5.0806 alpha=90.00 beta=90.00 gamma=90.00
Fractional coordinates of all 5 atoms:
S 0.0000 0.5000 0.0000
Rh 0.0000 0.0000 0.0000
Ag 0.5000 0.5000 0.5000
S 0.5000 0.0000 0.0000
Cl 0.0000 0.0000 0.5000



So which one wins? Going from most stable to least: entry 3, entry 1, entry 2.